1.
VASP calculation (PBE-GGA) on Li3La2Ag4 after structural relaxation.

Cell: 5.8001 8.2527 8.7407 Å, 90.00 109.38 90.00°
Closest atoms and distances in Å follow each position.
Element x y z (fractional)
Ag  0.1955  0.7500  0.8911  3 Li 2.68-2.69, 2 Ag 2.90
Li  0.0000  0.0000  0.0000  4 Ag 2.68
Ag  0.6869  0.5283  0.3737  5 Li 2.76-3.09
Ag  0.3131  0.4717  0.6263  5 Li 2.76-3.09
Li  0.5327  0.7500  0.5654  5 Ag 2.69-2.82, 2 Li 2.90
La  0.8861  0.4106  0.7723  8 Ag 3.18-3.43, 4 Li 3.41-3.53
Ag  0.3045  0.2500  0.1089  3 Li 2.68-2.69, 2 Ag 2.90
La  0.1139  0.5894  0.2277  8 Ag 3.18-3.43, 4 Li 3.41-3.53
Ag  0.1869  0.9717  0.3737  5 Li 2.76-3.09
La  0.6139  0.9106  0.2277  8 Ag 3.18-3.43, 4 Li 3.41-3.53
Li  0.5000  0.5000  0.0000  4 Ag 2.68
Ag  0.6955  0.7500  0.8911  3 Li 2.68-2.69, 2 Ag 2.90
Li  0.4673  0.2500  0.4346  5 Ag 2.69-2.82, 2 Li 2.90
Li  0.9673  0.2500  0.4346  5 Ag 2.69-2.82, 2 Li 2.90
La  0.3861  0.0894  0.7723  8 Ag 3.18-3.43, 4 Li 3.41-3.53
Ag  0.8131  0.0283  0.6263  5 Li 2.76-3.09
Li  0.0327  0.7500  0.5654  5 Ag 2.69-2.82, 2 Li 2.90
Ag  0.8045  0.2500  0.1089  3 Li 2.68-2.69, 2 Ag 2.90

Results
electronic total energy = -28.63 eV per formula unit
formation energy = -181 meV per atom



2.
VASP calculation (PBE-GGA) on MnRuRh after structural relaxation.

Cell: 4.2733 8.1488 4.6342 Å, 90.00 90.00 90.00°
Closest atoms and distances in Å follow each position.
Element x y z (fractional)
Ru  0.5000  0.3366  0.2601  5 Mn 2.62-2.74, 4 Rh 2.66-2.68, 3 Ru 2.66-2.71
Rh  0.0000  0.1635  0.4121  5 Mn 2.62-2.74, 4 Ru 2.66-2.68, 3 Rh 2.66-2.71
Ru  0.5000  0.8366  0.7601  5 Mn 2.62-2.74, 4 Rh 2.66-2.68, 3 Ru 2.66-2.71
Mn  0.5000  0.5000  0.7550  4 Rh 2.62, 6 Ru 2.65-2.74, 2 Mn 2.65
Mn  0.0000  0.5000  0.4160  4 Ru 2.62, 2 Mn 2.65, 6 Rh 2.66-2.74
Rh  0.0000  0.6635  0.9121  5 Mn 2.62-2.74, 4 Ru 2.66-2.68, 3 Rh 2.66-2.71
Mn  0.0000  0.0000  0.9160  4 Ru 2.62, 2 Mn 2.65, 6 Rh 2.66-2.74
Ru  0.5000  0.6634  0.2601  5 Mn 2.62-2.74, 4 Rh 2.66-2.68, 3 Ru 2.66-2.71
Rh  0.0000  0.3365  0.9121  5 Mn 2.62-2.74, 4 Ru 2.66-2.68, 3 Rh 2.66-2.71
Rh  0.0000  0.8365  0.4121  5 Mn 2.62-2.74, 4 Ru 2.66-2.68, 3 Rh 2.66-2.71
Mn  0.5000  0.0000  0.2550  4 Rh 2.62, 6 Ru 2.65-2.74, 2 Mn 2.65
Ru  0.5000  0.1634  0.7601  5 Mn 2.62-2.74, 4 Rh 2.66-2.68, 3 Ru 2.66-2.71

Results
energy above the most stable polymorph in this dataset = 0.000 eV/atom
electronic total energy = -25.95 eV per formula unit
formation energy = -51 meV per atom



3.
VASP calculation (PBE-GGA) on NdThMo4 after structural relaxation.

Cell: 5.6009 5.6009 5.6009 Å, 60.00 60.00 60.00°
Closest atoms and distances in Å follow each position.
Element x y z (fractional)
Mo  0.6252  0.1244  0.6252  6 Mo 2.80-2.81
Mo  0.6252  0.6252  0.1244  6 Mo 2.80-2.81
Mo  0.1244  0.6252  0.6252  6 Mo 2.80-2.81
Mo  0.6252  0.6252  0.6252  6 Mo 2.80-2.81
Nd  0.2500  0.2500  0.2500  12 Mo 3.28, 4 Th 3.43
Th  0.0000  0.0000  0.0000  12 Mo 3.28, 4 Nd 3.43

Results
electronic total energy = -54.51 eV per formula unit
formation energy = 167 meV per atom



4.
VASP calculation (PBE-GGA) on Ga4Ru3Rh after structural relaxation.

Cell: 3.0286 4.2854 8.5686 Å, 90.00 90.00 90.00°
Closest atoms and distances in Å follow each position.
Element x y z (fractional)
Ru  0.5000  0.0000  0.2479  8 Ga 2.61-2.64
Ga  0.0000  0.0000  0.5000  8 Ru 2.62-2.64
Ga  0.0000  0.0000  0.0000  4 Ru 2.61, 4 Rh 2.62
Rh  0.5000  0.5000  0.0000  8 Ga 2.62-2.64
Ga  0.0000  0.5000  0.7477  6 Ru 2.61-2.62, 2 Rh 2.64
Ru  0.5000  0.5000  0.5000  8 Ga 2.61-2.62
Ru  0.5000  0.0000  0.7521  8 Ga 2.61-2.64
Ga  0.0000  0.5000  0.2523  6 Ru 2.61-2.62, 2 Rh 2.64

Results
electronic total energy = -50.64 eV per formula unit
formation energy = -420 meV per atom



5.
VASP calculation (PBE-GGA) on Ta3WC after structural relaxation.

Cell: 4.8544 4.8544 4.8544 Å, 90.00 90.00 90.00°
Closest atoms and distances in Å follow each position.
Element x y z (fractional)
Ta  0.0000  0.5000  0.0000  2 W 2.43
Ta  0.0000  0.0000  0.5000  2 W 2.43
W  0.0000  0.0000  0.0000  6 Ta 2.43
C  0.5000  0.5000  0.5000  12 Ta 3.43
Ta  0.5000  0.0000  0.0000  2 W 2.43

Results
energy above the most stable polymorph in this dataset = 2.787 eV/atom
electronic total energy = -43.88 eV per formula unit
formation energy = 2771 meV per atom



6.
VASP calculation (PBE-GGA) on MgCuTcSnOsC after structural relaxation.

Cell: 2.9858 5.3607 6.2968 Å, 75.26 82.05 76.03°
Closest atoms and distances in Å follow each position.
Element x y z (fractional)
Sn  0.4042  0.2790  0.0529  2 Tc 2.70-2.96, 1 Os 2.74, 1 Cu 2.80, 1 Mg 2.96, 2 Sn 2.99
Tc  0.8274  0.0158  0.4224  1 C 1.90
Os  0.1354  0.2725  0.6563  1 C 1.91
C  0.9682  0.6447  0.5364  1 Tc 1.90, 1 Os 1.91, 2 Cu 2.08-2.09
Mg  0.8033  0.7933  0.8673  1 C 2.36
Cu  0.5546  0.5952  0.3157  2 C 2.08-2.09

Results
energy above the most stable polymorph in this dataset = 0.096 eV/atom
electronic total energy = -38.59 eV per formula unit
formation energy = 321 meV per atom



7.
VASP calculation (PBE-GGA) on La5Pm2Er3 after structural relaxation.

Cell: 10.1382 10.1382 10.1382 Å, 112.84 123.40 93.52°
Closest atoms and distances in Å follow each position.
Element x y z (fractional)
La  0.5000  0.7500  0.2500  4 Er 3.43, 2 La 3.52
La  0.2468  0.9968  0.7500  3 Er 3.39-3.43, 2 Pm 3.45, 1 La 3.52
Pm  0.2177  0.1187  0.0990  1 Er 3.02, 1 La 3.35
Er  0.2841  0.3708  0.9132  1 Pm 3.02, 1 La 3.25
La  0.3703  0.6212  0.7492  1 Er 3.25, 2 Pm 3.35-3.63
La  0.6297  0.3788  0.2508  1 Er 3.25, 2 Pm 3.35-3.63
La  0.2468  0.4968  0.2500  3 Er 3.39-3.43, 2 Pm 3.45, 1 La 3.52
Er  0.0000  0.2500  0.2500  4 Pm 3.39, 2 La 3.43
Pm  0.9803  0.3813  0.5990  1 Er 3.02, 1 La 3.35
La  0.1280  0.8788  0.2492  1 Er 3.25, 2 Pm 3.35-3.63
Pm  0.7823  0.8813  0.9010  1 Er 3.02, 1 La 3.35
La  0.7532  0.5032  0.7500  3 Er 3.39-3.43, 2 Pm 3.45, 1 La 3.52
La  0.8720  0.1212  0.7508  1 Er 3.25, 2 Pm 3.35-3.63
La  0.7532  0.0032  0.2500  3 Er 3.39-3.43, 2 Pm 3.45, 1 La 3.52
Pm  0.0197  0.6187  0.4010  1 Er 3.02, 1 La 3.35
Er  0.7159  0.6292  0.0868  1 Pm 3.02, 1 La 3.25
Er  0.5424  0.1292  0.4132  1 Pm 3.02, 1 La 3.25
Er  0.4576  0.8708  0.5868  1 Pm 3.02, 1 La 3.25
La  0.5000  0.2500  0.7500  4 Er 3.43, 2 La 3.52
Er  0.0000  0.7500  0.7500  4 Pm 3.39, 2 La 3.43

Results
electronic total energy = -44.44 eV per formula unit
formation energy = 338 meV per atom



8.
VASP calculation (PBE-GGA) on CaTbSn after structural relaxation.

Cell: 3.7578 5.2491 5.2491 Å, 120.00 90.00 90.00°
Closest atoms and distances in Å follow each position.
Element x y z (fractional)
Tb  0.9428  0.0000  0.0000  3 Sn 3.20, 3 Ca 3.46
Ca  0.3875  0.3333  0.6667  3 Sn 3.21, 3 Tb 3.46
Sn  0.6697  0.6667  0.3333  3 Tb 3.20, 3 Ca 3.21

Results
electronic total energy = -11.68 eV per formula unit
formation energy = -349 meV per atom